*w*
The following is a DFT calculation (PBE) of a relaxed Tc2AsP crystal.

- space-group type = Cmmm, No. 65

Cell: 2.9675 2.9675 7.7932 Å, 90.00 90.00 119.18°
Last column: nearest neighbours and their distance in Å.
Fractional positions:
Tc 0.0000 0.0000 0.2318  2 P 2.35, 2 As 2.57
Tc 0.0000 0.0000 0.7682  2 P 2.35, 2 As 2.57
As 0.5000 0.5000 0.5000  4 Tc 2.57
P 0.5000 0.5000 0.0000  4 Tc 2.35

*x*
The following is a DFT calculation (PBE) of a relaxed Tc2AsP crystal.

- space-group type = R3m, No. 160

Cell: 7.9186 7.9186 7.9186 Å, 21.94 21.94 21.94°
Last column: nearest neighbours and their distance in Å.
Fractional positions:
Tc 0.0000 0.0000 0.0000  3 As 2.49
Tc 0.2371 0.2371 0.2371  3 P 2.35
As 0.7435 0.7435 0.7435  3 Tc 2.49, 3 P 2.75
P 0.5022 0.5022 0.5022  3 Tc 2.35

Tell me which of them is the least stable. Sure, it is *w*.

*w*
The following is a DFT calculation (PBE) of a relaxed Tc2AsP crystal.

- space-group type = Pmmm, No. 47

Cell: 2.9819 3.8989 5.1572 Å, 90.00 90.00 90.00°
Last column: nearest neighbours and their distance in Å.
Fractional positions:
Tc 0.0000 0.0000 0.0000  4 P 2.45
Tc 0.5000 0.0000 0.5000  4 As 2.45
As 0.0000 0.5000 0.5000  4 Tc 2.45
P 0.5000 0.5000 0.0000  4 Tc 2.45

*x*
The following is a DFT calculation (PBE) of a relaxed Tc2AsP crystal.

- space-group type = Cmm2, No. 35

Cell: 2.8005 2.8005 9.6225 Å, 90.00 90.00 115.09°
Last column: nearest neighbours and their distance in Å.
Fractional positions:
Tc 0.0000 0.0000 0.0000  2 As 2.51, 6 Tc 2.75-2.80
Tc 0.5000 0.5000 0.2396  2 P 2.35
As 0.5000 0.5000 0.7906  2 Tc 2.51, 4 As 2.80
P 0.0000 0.0000 0.4268  2 Tc 2.35

*y*
The following is a DFT calculation (PBE) of a relaxed Tc2AsP crystal.

- space-group type = R3m, No. 160

Cell: 5.4471 5.4471 5.4471 Å, 40.43 40.43 40.43°
Last column: nearest neighbours and their distance in Å.
Fractional positions:
Tc 0.0000 0.0000 0.0000  3 P 2.37, 3 As 2.63
Tc 0.1938 0.1938 0.1938  3 P 2.45, 3 As 2.60
As 0.4319 0.4319 0.4319  1 P 2.56, 6 Tc 2.60-2.63
P 0.6028 0.6028 0.6028  6 Tc 2.37-2.45, 1 As 2.56

*z*
The following is a DFT calculation (PBE) of a relaxed Tc2AsP crystal.

- space-group type = Imm2, No. 44

Cell: 6.4226 6.4226 6.4226 Å, 151.67 151.58 40.56°
Last column: nearest neighbours and their distance in Å.
Fractional positions:
Tc 0.0000 0.0000 0.0000  4 P 2.42, 2 As 2.58
Tc 0.7691 0.2691 0.5000  2 P 2.41, 4 As 2.53
As 0.1694 0.6694 0.5000  6 Tc 2.53-2.58
P 0.4205 0.4205 0.0000  6 Tc 2.41-2.42

Tell me which of them is the least stable. Sure, it is *x*.

*w*
The following is a DFT calculation (PBE) of a relaxed Tc2AsPW crystal.

- space-group type = P4/mmm, No. 123

Cell: 4.3922 4.3922 4.5138 Å, 90.00 90.00 90.00°
Last column: nearest neighbours and their distance in Å.
Fractional positions:
Tc 0.0000 0.5000 0.0000  2 P 2.20
Tc 0.5000 0.0000 0.0000  2 P 2.20
As 0.0000 0.0000 0.5000  4 W 3.11, 8 Tc 3.15
P 0.5000 0.5000 0.0000  4 Tc 2.20, 2 W 2.26
W 0.5000 0.5000 0.5000  2 P 2.26

*x*
The following is a DFT calculation (PBE) of a relaxed Tc2AsPW crystal.

- space-group type = P4/mmm, No. 123

Cell: 4.8001 4.8001 4.5257 Å, 90.00 90.00 90.00°
Last column: nearest neighbours and their distance in Å.
Fractional positions:
Tc 0.0000 0.5000 0.0000  2 W 2.40
Tc 0.5000 0.0000 0.0000  2 W 2.40
As 0.0000 0.0000 0.5000  8 Tc 3.30, 4 P 3.39
P 0.5000 0.5000 0.5000  2 W 2.26
W 0.5000 0.5000 0.0000  2 P 2.26, 4 Tc 2.40

Tell me which of them is the least stable. Sure, it is *x*.

*w*
The following is a DFT calculation (PBE) of a relaxed TeAsP crystal.

- space-group type = I4mm, No. 107

Cell: 8.0390 8.0390 8.0390 Å, 157.71 157.71 31.74°
Last column: nearest neighbours and their distance in Å.
Fractional positions:
Te 0.0000 0.0000 0.0000  4 Te 3.11
As 0.7153 0.7153 0.0000  4 P 2.51
P 0.2932 0.2932 0.0000  4 As 2.51

*x*
The following is a DFT calculation (PBE) of a relaxed TeAsP crystal.

- space-group type = R-3m, No. 166

Cell: 10.4945 10.4945 10.4945 Å, 21.47 21.47 21.47°
Last column: nearest neighbours and their distance in Å.
Fractional positions:
Te 0.2123 0.2123 0.2123  3 As 2.82
Te 0.7877 0.7877 0.7877  3 As 2.82
As 0.0662 0.0662 0.0662  3 P 2.70, 3 Te 2.82
As 0.9338 0.9338 0.9338  3 P 2.70, 3 Te 2.82
P 0.3512 0.3512 0.3512  3 P 2.51, 3 As 2.70
P 0.6488 0.6488 0.6488  3 P 2.51, 3 As 2.70

Tell me which of them is the least stable. Sure, it is *w*.

*w*
The following is a DFT calculation (PBE) of a relaxed TeAsP crystal.

- space-group type = P1, No. 1

Cell: 5.7845 5.8415 6.7309 Å, 66.84 81.06 71.90°
Last column: nearest neighbours and their distance in Å.
Fractional positions:
Te 0.0000 0.0000 0.0000  1 P 2.55, 1 As 2.66
Te 0.0150 0.3199 0.3766  1 P 2.55, 1 As 2.65
As 0.5925 0.9772 0.8828  1 P 2.38, 1 As 2.49, 1 Te 2.66
As 0.5983 0.1928 0.4814  1 P 2.38, 1 As 2.49, 1 Te 2.65
P 0.0062 0.4365 0.7052  1 P 2.28, 2 Te 2.55
P 0.4016 0.4269 0.7101  1 P 2.28, 2 As 2.38

*x*
The following is a DFT calculation (PBE) of a relaxed TeAsP crystal.

- space-group type = Cm, No. 8

Cell: 8.4818 8.4818 5.9902 Å, 102.32 102.32 22.95°
Last column: nearest neighbours and their distance in Å.
Fractional positions:
Te 0.0000 0.0000 0.0000  1 Te 2.94
Te 0.0539 0.0539 0.5640  1 Te 2.94, 1 As 3.27
As 0.2206 0.2206 0.3565  2 P 2.37, 1 As 2.57
As 0.3184 0.3184 0.0776  2 P 2.37, 1 As 2.57
P 0.7343 0.7343 0.8659  1 P 2.22, 2 As 2.37
P 0.7995 0.7995 0.5800  1 P 2.22, 2 As 2.37

Tell me which of them is the least stable. Sure, it is *w*.

*w*
The following is a DFT calculation (PBE) of a relaxed TeAsP crystal.

- space-group type = C2/m, No. 12

Cell: 6.9928 6.9928 7.3165 Å, 104.02 104.02 27.70°
Last column: nearest neighbours and their distance in Å.
Fractional positions:
Te 0.1122 0.1122 0.4583  1 As 2.69
Te 0.8878 0.8878 0.5417  1 As 2.69
As 0.1693 0.1693 0.1311  2 P 2.35
As 0.8307 0.8307 0.8689  2 P 2.35
P 0.4302 0.4302 0.0526  1 P 2.22, 2 As 2.35
P 0.5698 0.5698 0.9474  1 P 2.22, 2 As 2.35

*x*
The following is a DFT calculation (PBE) of a relaxed TeAsP crystal.

- space-group type = P3m1, No. 156

Cell: 3.9395 3.9395 4.9779 Å, 90.00 90.00 120.00°
Last column: nearest neighbours and their distance in Å.
Fractional positions:
Te 0.0000 0.0000 0.0000  3 P 2.87, 3 As 2.96
As 0.3333 0.6667 0.3807  3 P 2.64
P 0.6667 0.3333 0.6483  3 As 2.64, 3 Te 2.87

Tell me which of them is the least stable. Sure, it is *x*.

*w*
The following is a DFT calculation (PBE) of a relaxed TeAsP crystal.

- space-group type = Pm, No. 6

Cell: 5.9136 3.3122 10.4518 Å, 90.00 93.08 90.00°
Last column: nearest neighbours and their distance in Å.
Fractional positions:
Te 0.0000 0.0000 0.0000  1 Te 2.81
Te 0.4411 0.0000 0.9118  1 Te 2.81
As 0.2724 0.5000 0.3772  2 P 2.36, 1 As 2.51
As 0.6264 0.5000 0.5203  2 P 2.36, 1 As 2.51
P 0.1131 0.0000 0.5055  1 P 2.23, 2 As 2.36
P 0.7832 0.0000 0.3911  1 P 2.23, 2 As 2.36

*x*
The following is a DFT calculation (PBE) of a relaxed TeAsP crystal.

- space-group type = F-43m, No. 216

Cell: 4.6377 4.6377 4.6377 Å, 60.00 60.00 60.00°
Last column: nearest neighbours and their distance in Å.
Fractional positions:
Te 0.0000 0.0000 0.0000  4 P 2.84
As 0.5000 0.5000 0.5000  4 P 2.84
P 0.7500 0.7500 0.7500  4 As 2.84, 4 Te 2.84

*y*
The following is a DFT calculation (PBE) of a relaxed TeAsP crystal.

- space-group type = F-43m, No. 216

Cell: 4.7255 4.7255 4.7255 Å, 60.00 60.00 60.00°
Last column: nearest neighbours and their distance in Å.
Fractional positions:
Te 0.0000 0.0000 0.0000  4 As 2.89, 4 P 2.89
As 0.2500 0.2500 0.2500  4 Te 2.89
P 0.7500 0.7500 0.7500  4 Te 2.89

Tell me which of them is the least stable. Sure, it is *y*.

*w*
The following is a DFT calculation (PBE) of a relaxed TeAsP crystal.

- space-group type = P2/m, No. 10

Cell: 6.3611 3.3927 7.5911 Å, 90.00 103.25 90.00°
Last column: nearest neighbours and their distance in Å.
Fractional positions:
Te 0.2141 0.0000 0.4486  1 As 2.84, 1 Te 3.00
Te 0.7859 0.0000 0.5514  1 As 2.84, 1 Te 3.00
As 0.3500 0.0000 0.1172  2 P 2.37
As 0.6500 0.0000 0.8828  2 P 2.37
P 0.1430 0.5000 0.9396  1 P 2.22, 2 As 2.37
P 0.8570 0.5000 0.0604  1 P 2.22, 2 As 2.37

*x*
The following is a DFT calculation (PBE) of a relaxed TeAsP crystal.

- space-group type = I4mm, No. 107

Cell: 7.0649 7.0649 7.0649 Å, 152.17 152.17 39.77°
Last column: nearest neighbours and their distance in Å.
Fractional positions:
Te 0.0000 0.0000 0.0000  1 P 2.56
As 0.7498 0.7498 0.0000  4 P 2.52
P 0.1925 0.1925 0.0000  4 As 2.52, 1 Te 2.56

Tell me which of them is the least stable. Sure, it is *x*.

*w*
The following is a DFT calculation (PBE) of a relaxed TeAs2P crystal.

- space-group type = C2/m, No. 12

Cell: 6.1479 6.1479 4.1238 Å, 103.44 103.44 36.53°
Last column: nearest neighbours and their distance in Å.
Fractional positions:
Te 0.0000 0.0000 0.0000  4 P 2.82, 2 As 3.05
As 0.2658 0.2658 0.3110  2 As 2.56, 1 P 2.65
As 0.7342 0.7342 0.6890  2 As 2.56, 1 P 2.65
P 0.5000 0.5000 0.5000  2 As 2.65, 4 Te 2.82

*x*
The following is a DFT calculation (PBE) of a relaxed TeAs2P crystal.

- space-group type = Cmmm, No. 65

Cell: 3.0038 3.0038 10.3584 Å, 90.00 90.00 110.66°
Last column: nearest neighbours and their distance in Å.
Fractional positions:
Te 0.0000 0.0000 0.0000  4 Te 3.00
As 0.5000 0.5000 0.3133  2 P 2.58
As 0.5000 0.5000 0.6867  2 P 2.58
P 0.0000 0.0000 0.5000  4 As 2.58

Tell me which of them is the least stable. Sure, it is *x*.

*w*
The following is a DFT calculation (PBE) of a relaxed TeAs2P crystal.

- space-group type = P4mm, No. 99

Cell: 3.9507 3.9507 6.0975 Å, 90.00 90.00 90.00°
Last column: nearest neighbours and their distance in Å.
Fractional positions:
Te 0.0000 0.0000 0.0000  6 As 2.84-3.08
As 0.0000 0.0000 0.4949  4 P 2.80, 2 Te 3.02-3.08
As 0.5000 0.5000 0.0832  1 P 2.35
P 0.5000 0.5000 0.4693  1 As 2.35

*x*
The following is a DFT calculation (PBE) of a relaxed TeAs2P crystal.

- space-group type = R3m, No. 160

Cell: 7.0416 7.0416 7.0416 Å, 32.04 32.04 32.04°
Last column: nearest neighbours and their distance in Å.
Fractional positions:
Te 0.0000 0.0000 0.0000  3 P 2.80, 3 As 3.01
As 0.5078 0.5078 0.5078  3 As 2.69, 3 P 2.70
As 0.7668 0.7668 0.7668  3 As 2.69, 3 Te 3.01
P 0.2496 0.2496 0.2496  3 As 2.70, 3 Te 2.80

Tell me which of them is the least stable. Sure, it is *w*.

*w*
The following is a DFT calculation (PBE) of a relaxed TeAs2P crystal.

- space-group type = Fm-3m, No. 225

Cell: 4.8609 4.8609 4.8609 Å, 60.00 60.00 60.00°
Last column: nearest neighbours and their distance in Å.
Fractional positions:
Te 0.0000 0.0000 0.0000  8 As 2.98
As 0.2500 0.2500 0.2500  4 Te 2.98, 4 P 2.98
As 0.7500 0.7500 0.7500  4 P 2.98, 4 Te 2.98
P 0.5000 0.5000 0.5000  8 As 2.98

*x*
The following is a DFT calculation (PBE) of a relaxed TeAs2P crystal.

- space-group type = P2/m, No. 10

Cell: 4.6725 3.8720 5.1941 Å, 90.00 109.30 90.00°
Last column: nearest neighbours and their distance in Å.
Fractional positions:
Te 0.0000 0.0000 0.0000  2 P 2.86, 4 As 2.98
As 0.2526 0.5000 0.6954  1 As 2.55, 2 P 2.62
As 0.7474 0.5000 0.3046  1 As 2.55, 2 P 2.62
P 0.5000 0.0000 0.5000  4 As 2.62, 2 Te 2.86

*y*
The following is a DFT calculation (PBE) of a relaxed TeAs2P crystal.

- space-group type = Pmmm, No. 47

Cell: 3.4167 4.8184 4.9212 Å, 90.00 90.00 90.00°
Last column: nearest neighbours and their distance in Å.
Fractional positions:
Te 0.0000 0.0000 0.0000  4 P 2.95, 4 As 3.00
As 0.0000 0.5000 0.5000  4 As 2.95, 4 P 3.00
As 0.5000 0.0000 0.5000  4 As 2.95, 4 Te 3.00
P 0.5000 0.5000 0.0000  4 Te 2.95, 4 As 3.00

*z*
The following is a DFT calculation (PBE) of a relaxed TeAs2P crystal.

- space-group type = Pmmm, No. 47

Cell: 3.2734 3.3158 8.1330 Å, 90.00 90.00 90.00°
Last column: nearest neighbours and their distance in Å.
Fractional positions:
Te 0.0000 0.0000 0.0000  4 Te 3.27-3.32, 8 As 3.60
As 0.5000 0.5000 0.3382  1 As 2.63, 4 P 2.68
As 0.5000 0.5000 0.6618  1 As 2.63, 4 P 2.68
P 0.0000 0.0000 0.5000  8 As 2.68

Tell me which of them is the least stable. Sure, it is *w*.

*w*
The following is a DFT calculation (PBE) of a relaxed TeAs3P crystal.

- space-group type = Pm-3m, No. 221

Cell: 4.8379 4.8379 4.8379 Å, 90.00 90.00 90.00°
Last column: nearest neighbours and their distance in Å.
Fractional positions:
Te 0.0000 0.0000 0.0000  12 As 3.42
As 0.0000 0.5000 0.5000  2 P 2.42
As 0.5000 0.0000 0.5000  2 P 2.42
As 0.5000 0.5000 0.0000  2 P 2.42
P 0.5000 0.5000 0.5000  6 As 2.42

*x*
The following is a DFT calculation (PBE) of a relaxed TeAs3P crystal.

- space-group type = Pm-3m, No. 221

Cell: 5.2702 5.2702 5.2702 Å, 90.00 90.00 90.00°
Last column: nearest neighbours and their distance in Å.
Fractional positions:
Te 0.0000 0.0000 0.0000  6 As 2.64
As 0.0000 0.0000 0.5000  2 Te 2.64
As 0.0000 0.5000 0.0000  2 Te 2.64
As 0.5000 0.0000 0.0000  2 Te 2.64
P 0.5000 0.5000 0.5000  12 As 3.73

Tell me which of them is the least stable. Sure, it is *x*.